This record from Alexandria describes crystalline Ta2TiIr at its relaxed geometry. The functional is PBE-GGA.

Output
SG: I-42d, No. 122
ΔE_f: 0.19 eV per atom
Magnetic moment: 0.00 μB/f.u.

abc: 5.8895 5.8895 5.8895
angles: 102.08 102.08 125.56
Closest atoms and distances in Å follow each position.
Element x y z (fractional)
Ta  0.0977  0.6250  0.9727  2 Ir 2.57, 2 Ta 2.72, 2 Ti 2.85
Ta  0.3750  0.3477  0.4727  2 Ir 2.57, 2 Ta 2.72, 2 Ti 2.85
Ta  0.6523  0.1250  0.0273  2 Ir 2.57, 2 Ta 2.72, 2 Ti 2.85
Ta  0.8750  0.9023  0.5273  2 Ir 2.57, 2 Ta 2.72, 2 Ti 2.85
Ti  0.2500  0.7500  0.5000  2 Ir 2.69, 4 Ta 2.85
Ti  0.5000  0.5000  0.0000  2 Ir 2.69, 4 Ta 2.85
Ir  0.0000  0.0000  0.0000  4 Ta 2.57, 2 Ti 2.69
Ir  0.7500  0.2500  0.5000  4 Ta 2.57, 2 Ti 2.69

***

This record from Alexandria describes crystalline Zr2TaTi2Ir5 at its relaxed geometry. The functional is PBE-GGA.

Output
SG: P4/mbm, No. 127
ΔE_f: -0.59 eV per atom
Magnetic moment: 0.00 μB/f.u.

abc: 9.3334 9.3334 3.8678
angles: 90.00 90.00 90.00
Closest atoms and distances in Å follow each position.
Element x y z (fractional)
Zr  0.1771  0.3229  0.0000  3 Ti 2.66-2.83
Zr  0.3229  0.8229  0.0000  3 Ti 2.66-2.83
Zr  0.6771  0.1771  0.0000  3 Ti 2.66-2.83
Zr  0.8229  0.6771  0.0000  3 Ti 2.66-2.83
Ta  0.0000  0.0000  0.0000  8 Ir 2.78
Ta  0.5000  0.5000  0.0000  8 Ir 2.78
Ti  0.1212  0.6212  0.0000  6 Ir 2.51-2.59, 1 Zr 2.66
Ti  0.3788  0.1212  0.0000  6 Ir 2.51-2.59, 1 Zr 2.66
Ti  0.6212  0.8788  0.0000  6 Ir 2.51-2.59, 1 Zr 2.66
Ti  0.8788  0.3788  0.0000  6 Ir 2.51-2.59, 1 Zr 2.66
Ir  0.0000  0.5000  0.5000  4 Ti 2.51
Ir  0.0654  0.7968  0.5000  2 Ti 2.59, 2 Ta 2.78, 3 Ir 2.82-2.84
Ir  0.2032  0.0654  0.5000  2 Ti 2.59, 2 Ta 2.78, 3 Ir 2.82-2.84
Ir  0.2968  0.5654  0.5000  2 Ti 2.59, 2 Ta 2.78, 3 Ir 2.82-2.84
Ir  0.4346  0.2968  0.5000  2 Ti 2.59, 2 Ta 2.78, 3 Ir 2.82-2.84
Ir  0.5000  0.0000  0.5000  4 Ti 2.51
Ir  0.5654  0.7032  0.5000  2 Ti 2.59, 2 Ta 2.78, 3 Ir 2.82-2.84
Ir  0.7032  0.4346  0.5000  2 Ti 2.59, 2 Ta 2.78, 3 Ir 2.82-2.84
Ir  0.7968  0.9346  0.5000  2 Ti 2.59, 2 Ta 2.78, 3 Ir 2.82-2.84
Ir  0.9346  0.2032  0.5000  2 Ti 2.59, 2 Ta 2.78, 3 Ir 2.82-2.84